This record from OQMD describes a relaxed Li4ZnPb crystal. The functional is PBE-GGA.

**Total energy**: -27.65 eV for the cell shown

a b c (Å): 4.7409 9.1115 4.7428
angles (deg): 90.00 90.00 90.00
Last column: nearest neighbours and their distance in Å.
Fractional coordinates of all 12 atoms:
Li 0.0000 0.1683 0.0000  5 Li 2.80-3.07, 3 Zn 2.82-3.02, 2 Pb 2.82
Li 0.0000 0.3317 0.5000  5 Li 2.80-3.07, 3 Zn 2.82-3.02, 2 Pb 2.82
Li 0.0000 0.6683 0.5000  5 Li 2.80-3.07, 3 Zn 2.82-3.02, 2 Pb 2.82
Li 0.0000 0.8317 0.0000  5 Li 2.80-3.07, 3 Zn 2.82-3.02, 2 Pb 2.82
Li 0.5000 0.1691 0.5162  5 Li 2.79-3.08, 3 Pb 2.83-3.01, 2 Zn 2.83
Li 0.5000 0.3309 0.0162  5 Li 2.79-3.08, 3 Pb 2.83-3.01, 2 Zn 2.83
Li 0.5000 0.6691 0.0162  5 Li 2.79-3.08, 3 Pb 2.83-3.01, 2 Zn 2.83
Li 0.5000 0.8309 0.5162  5 Li 2.79-3.08, 3 Pb 2.83-3.01, 2 Zn 2.83
Zn 0.0000 0.0000 0.5000  10 Li 2.82-3.02
Zn 0.0000 0.5000 0.0000  10 Li 2.82-3.02
Pb 0.5000 0.0000 0.0163  10 Li 2.82-3.01
Pb 0.5000 0.5000 0.5163  10 Li 2.82-3.01